Here is a crystal of P2OsRuS relaxed with PBEsol from Alexandria via LeMat-Bulk. Energies are from meta-GGA SCAN.

The value obtained for the energy above the most stable polymorph in this dataset is 0.000 eV per atom. Its formation energy without anion corrections is 1.30 eV per atom. The value obtained for the density of states at the Fermi level is 3.6 states/eV/cell. The total energy is -130.649 eV per cell.

The structure belongs to space group P4/mmm (No. 123); the cell edges are 4.4447, 4.4447 and 4.5654 Å and the angles 90.00°, 90.00° and 90.00°. The asymmetric unit holds P at (0.0000, 0.5000, 0.0000), Os at (0.0000, 0.0000, 0.0000), Ru at (0.5000, 0.5000, 0.5000) and S at (0.0000, 0.0000, 0.5000).

***

Here is a crystal of Sn2POsRu relaxed with PBEsol from Alexandria via LeMat-Bulk. Energies are from meta-GGA SCAN.

For the energy of formation, the calculation gives 1247.8 meV/atom. The value obtained for the density of states at the Fermi level is 3.7 states/eV/cell. The total energy is -182.708 eV per cell.

The structure belongs to space group P4/mmm (No. 123); the cell edges are 4.9429, 4.9429 and 4.6720 Å and the angles 90.00°, 90.00° and 90.00°. The asymmetric unit holds Sn at (0.0000, 0.5000, 0.0000), P at (0.0000, 0.0000, 0.5000), Os at (0.5000, 0.5000, 0.5000) and Ru at (0.5000, 0.5000, 0.0000).

***

Here is a crystal of SrP2OsRu relaxed with PBEsol from Alexandria via LeMat-Bulk. Energies are from meta-GGA SCAN.

For the energy of formation, the calculation gives 3027.2 meV/atom. The value obtained for the density of states at the Fermi level is 5.0 states/eV/cell. The total energy is -134.643 eV per cell.

The structure belongs to space group P4/mmm (No. 123); the cell edges are 4.9619, 4.9619 and 4.6166 Å and the angles 90.00°, 90.00° and 90.00°. The asymmetric unit holds Sr at (0.0000, 0.0000, 0.0000), P at (0.0000, 0.5000, 0.0000), Os at (0.5000, 0.5000, 0.5000) and Ru at (0.0000, 0.0000, 0.5000).

***

Copy entry 2 word for word.
Here is a crystal of Sn2POsRu relaxed with PBEsol from Alexandria via LeMat-Bulk. Energies are from meta-GGA SCAN.

For the energy of formation, the calculation gives 1247.8 meV/atom. The value obtained for the density of states at the Fermi level is 3.7 states/eV/cell. The total energy is -182.708 eV per cell.

The structure belongs to space group P4/mmm (No. 123); the cell edges are 4.9429, 4.9429 and 4.6720 Å and the angles 90.00°, 90.00° and 90.00°. The asymmetric unit holds Sn at (0.0000, 0.5000, 0.0000), P at (0.0000, 0.0000, 0.5000), Os at (0.5000, 0.5000, 0.5000) and Ru at (0.5000, 0.5000, 0.0000).